# 1
{
  "formula": "SrPbN2F",
  "functional": "GGA-PBE",
  "state": "relaxed",
  "lattice": [[5.002, 0.000, 0.000], [0.000, 5.002, 0.000], [0.000, 0.000, 4.535]],
  "species": ["Sr", "Pb", "N", "N", "F"],
  "frac_coords": [[0.000, 0.000, 0.000], [0.500, 0.500, 0.500], [0.000, 0.500, 0.000], [0.500, 0.000, 0.000], [0.000, 0.000, 0.500]],
  "e_form_raw_kj_per_mol_atoms": 27,
  "density_g_cm3": 5.0
}

---

# 2
{
  "formula": "TaPbN2F",
  "functional": "GGA-PBE",
  "state": "relaxed",
  "lattice": [[4.378, 0.000, 0.000], [0.000, 4.378, 0.000], [0.000, 0.000, 4.187]],
  "species": ["Ta", "Pb", "N", "N", "F"],
  "frac_coords": [[0.000, 0.000, 0.000], [0.500, 0.500, 0.500], [0.000, 0.500, 0.500], [0.500, 0.000, 0.500], [0.500, 0.500, 0.000]],
  "e_form_raw_kj_per_mol_atoms": 124,
  "density_g_cm3": 9.0
}

---

What did the first record say?
{
  "formula": "SrPbN2F",
  "functional": "GGA-PBE",
  "state": "relaxed",
  "lattice": [[5.002, 0.000, 0.000], [0.000, 5.002, 0.000], [0.000, 0.000, 4.535]],
  "species": ["Sr", "Pb", "N", "N", "F"],
  "frac_coords": [[0.000, 0.000, 0.000], [0.500, 0.500, 0.500], [0.000, 0.500, 0.000], [0.500, 0.000, 0.000], [0.000, 0.000, 0.500]],
  "e_form_raw_kj_per_mol_atoms": 27,
  "density_g_cm3": 5.0
}

---

What is the formula in the second record?
TaPbN2F